[1]
VASP calculation (PBE-GGA) on an optimized crystal structure of LiHo2MgS4. Values from VASP.

Cell and atoms, written as Quantum ESPRESSO input:
```
&SYSTEM
  ibrav = 0, nat = 8, ntyp = 4
/
ATOMIC_SPECIES
Li 6.94 Li.upf
Ho 164.93 Ho.upf
Mg 24.30 Mg.upf
S 32.06 S.upf
CELL_PARAMETERS angstrom
6.585 0.000 0.000
0.000 3.815 0.000
-2.161 0.000 6.238
ATOMIC_POSITIONS angstrom
Li 0.000 0.000 0.000
Ho -1.081 1.907 3.119
Ho 2.212 0.000 3.119
Mg 3.292 1.907 0.000
S 1.132 1.907 1.496
S 0.031 0.000 4.769
S 4.392 0.000 1.469
S 3.291 1.907 4.742
```

## Properties
E_tot: -5.39 eV per atom
E_form (uncorrected): -13.95 eV per formula unit
calculated volume: 156.7 Å³/cell
density: 5.19 g/cm³

[2]
VASP calculation (PBE-GGA) on an optimized crystal structure of LiHoMgSc. Values from VASP.

Cell and atoms, written as Quantum ESPRESSO input:
```
&SYSTEM
  ibrav = 0, nat = 4, ntyp = 4
/
ATOMIC_SPECIES
Li 6.94 Li.upf
Ho 164.93 Ho.upf
Mg 24.30 Mg.upf
Sc 44.96 Sc.upf
CELL_PARAMETERS angstrom
0.000 3.650 3.650
3.650 0.000 3.650
3.650 3.650 0.000
ATOMIC_POSITIONS angstrom
Li 0.000 0.000 0.000
Ho 1.825 1.825 1.825
Mg 3.650 3.650 3.650
Sc 5.475 5.475 5.475
```

## Properties
E_tot: -3.52 eV per atom
calculated volume: 97.2 Å³/cell
energy of formation: 0.0831 eV/atom
density: 4.12 g/cm³

[3]
VASP calculation (PBE-GGA) on an optimized crystal structure of LiHoMg2Se4. Values from VASP.

Cell and atoms, written as Quantum ESPRESSO input:
```
&SYSTEM
  ibrav = 0, nat = 8, ntyp = 4
/
ATOMIC_SPECIES
Li 6.94 Li.upf
Ho 164.93 Ho.upf
Mg 24.30 Mg.upf
Se 78.96 Se.upf
CELL_PARAMETERS angstrom
6.791 0.000 0.000
0.000 3.995 0.000
-2.161 0.000 6.468
ATOMIC_POSITIONS angstrom
Li 0.000 0.000 0.000
Ho 3.395 1.998 0.000
Mg -1.080 1.998 3.234
Mg 2.315 0.000 3.234
Se 0.034 0.000 4.827
Se 1.150 1.998 1.704
Se 3.480 1.998 4.764
Se 4.596 0.000 1.641
```

## Properties
E_tot: -4.40 eV per atom
E_form (uncorrected): -11.56 eV per formula unit
calculated volume: 175.5 Å³/cell
density: 5.07 g/cm³

[4]
VASP calculation (PBE-GGA) on an optimized crystal structure of Li2Sm2HoMg5. Values from VASP.

Cell and atoms, written as Quantum ESPRESSO input:
```
&SYSTEM
  ibrav = 0, nat = 20, ntyp = 4
/
ATOMIC_SPECIES
Li 6.94 Li.upf
Sm 150.36 Sm.upf
Ho 164.93 Ho.upf
Mg 24.30 Mg.upf
CELL_PARAMETERS angstrom
10.634 0.000 0.000
0.000 10.634 0.000
0.000 0.000 4.442
ATOMIC_POSITIONS angstrom
Li 1.218 4.099 0.000
Li 4.099 9.417 0.000
Li 6.535 1.218 0.000
Li 9.417 6.535 0.000
Sm 1.919 7.237 0.000
Sm 3.398 1.919 0.000
Sm 7.237 8.715 0.000
Sm 8.715 3.398 0.000
Ho 0.000 0.000 0.000
Ho 5.317 5.317 0.000
Mg 0.000 5.317 2.221
Mg 0.659 2.267 2.221
Mg 2.267 9.976 2.221
Mg 3.050 4.659 2.221
Mg 4.659 7.584 2.221
Mg 5.317 0.000 2.221
Mg 5.976 3.050 2.221
Mg 7.584 5.976 2.221
Mg 8.367 0.659 2.221
Mg 9.976 8.367 2.221
```

## Properties
E_tot: -2.62 eV per atom
calculated volume: 502.4 Å³/cell
energy of formation: -0.0373 eV/atom
density: 3.97 g/cm³

[5]
VASP calculation (PBE-GGA) on an optimized crystal structure of LiSmHoMg. Values from VASP.

Cell and atoms, written as Quantum ESPRESSO input:
```
&SYSTEM
  ibrav = 0, nat = 4, ntyp = 4
/
ATOMIC_SPECIES
Li 6.94 Li.upf
Sm 150.36 Sm.upf
Ho 164.93 Ho.upf
Mg 24.30 Mg.upf
CELL_PARAMETERS angstrom
0.000 3.783 3.783
3.783 0.000 3.783
3.783 3.783 0.000
ATOMIC_POSITIONS angstrom
Li 0.000 0.000 0.000
Sm 5.674 5.674 5.674
Ho 1.891 1.891 1.891
Mg 3.783 3.783 3.783
```

## Properties
E_tot: -3.17 eV per atom
calculated volume: 108.2 Å³/cell
energy of formation: 0.0359 eV/atom
density: 5.32 g/cm³

[6]
VASP calculation (PBE-GGA) on an optimized crystal structure of Li2Tb2HoMg5. Values from VASP.

Cell and atoms, written as Quantum ESPRESSO input:
```
&SYSTEM
  ibrav = 0, nat = 20, ntyp = 4
/
ATOMIC_SPECIES
Li 6.94 Li.upf
Tb 158.93 Tb.upf
Ho 164.93 Ho.upf
Mg 24.30 Mg.upf
CELL_PARAMETERS angstrom
10.567 0.000 0.000
0.000 10.567 0.000
0.000 0.000 4.409
ATOMIC_POSITIONS angstrom
Li 1.215 4.068 0.000
Li 4.068 9.352 0.000
Li 6.498 1.215 0.000
Li 9.352 6.498 0.000
Tb 1.901 7.185 0.000
Tb 3.382 1.901 0.000
Tb 7.185 8.665 0.000
Tb 8.665 3.382 0.000
Ho 0.000 0.000 0.000
Ho 5.283 5.283 0.000
Mg 0.000 5.283 2.204
Mg 0.667 2.256 2.204
Mg 2.256 9.899 2.204
Mg 3.027 4.616 2.204
Mg 4.616 7.539 2.204
Mg 5.283 0.000 2.204
Mg 5.951 3.027 2.204
Mg 7.539 5.951 2.204
Mg 8.311 0.667 2.204
Mg 9.899 8.311 2.204
```

## Properties
E_tot: -2.59 eV per atom
calculated volume: 492.3 Å³/cell
energy of formation: -0.0242 eV/atom
density: 4.17 g/cm³

[7]
VASP calculation (PBE-GGA) on an optimized crystal structure of Li2TbHo2Mg5. Values from VASP.

Cell and atoms, written as Quantum ESPRESSO input:
```
&SYSTEM
  ibrav = 0, nat = 20, ntyp = 4
/
ATOMIC_SPECIES
Li 6.94 Li.upf
Tb 158.93 Tb.upf
Ho 164.93 Ho.upf
Mg 24.30 Mg.upf
CELL_PARAMETERS angstrom
10.542 0.000 0.000
0.000 10.542 0.000
0.000 0.000 4.412
ATOMIC_POSITIONS angstrom
Li 1.210 4.061 0.000
Li 4.061 9.332 0.000
Li 6.482 1.210 0.000
Li 9.332 6.482 0.000
Tb 0.000 0.000 0.000
Tb 5.271 5.271 0.000
Ho 1.895 7.166 0.000
Ho 3.376 1.895 0.000
Ho 7.166 8.647 0.000
Ho 8.647 3.376 0.000
Mg 0.000 5.271 2.206
Mg 0.670 2.260 2.206
Mg 2.260 9.872 2.206
Mg 3.011 4.601 2.206
Mg 4.601 7.531 2.206
Mg 5.271 0.000 2.206
Mg 5.942 3.011 2.206
Mg 7.531 5.942 2.206
Mg 8.282 0.670 2.206
Mg 9.872 8.282 2.206
```

## Properties
E_tot: -2.57 eV per atom
calculated volume: 490.4 Å³/cell
energy of formation: -0.0155 eV/atom
density: 4.23 g/cm³

[8]
VASP calculation (PBE-GGA) on an optimized crystal structure of LiHoThMg. Values from VASP.

Cell and atoms, written as Quantum ESPRESSO input:
```
&SYSTEM
  ibrav = 0, nat = 4, ntyp = 4
/
ATOMIC_SPECIES
Li 6.94 Li.upf
Ho 164.93 Ho.upf
Th 232.04 Th.upf
Mg 24.30 Mg.upf
CELL_PARAMETERS angstrom
0.000 3.764 3.764
3.764 0.000 3.764
3.764 3.764 0.000
ATOMIC_POSITIONS angstrom
Li 0.000 0.000 0.000
Ho 5.646 5.646 5.646
Th 1.882 1.882 1.882
Mg 3.764 3.764 3.764
```

## Properties
E_tot: -3.74 eV per atom
calculated volume: 106.7 Å³/cell
energy of formation: 0.1359 eV/atom
density: 6.67 g/cm³

[9]
VASP calculation (PBE-GGA) on an optimized crystal structure of LiHoMg2Tl4. Values from VASP.

Cell and atoms, written as Quantum ESPRESSO input:
```
&SYSTEM
  ibrav = 0, nat = 8, ntyp = 4
/
ATOMIC_SPECIES
Li 6.94 Li.upf
Ho 164.93 Ho.upf
Mg 24.30 Mg.upf
Tl 204.38 Tl.upf
CELL_PARAMETERS angstrom
2.567 1.482 8.544
-2.567 1.482 8.544
0.000 -2.964 8.544
ATOMIC_POSITIONS angstrom
Li 0.000 0.000 0.000
Ho 0.000 0.000 12.815
Mg 0.000 0.000 6.392
Mg 0.000 0.000 19.239
Tl 0.000 0.000 3.049
Tl 0.000 0.000 9.508
Tl 0.000 0.000 16.123
Tl 0.000 0.000 22.582
```

## Properties
E_tot: -2.58 eV per atom
calculated volume: 195.0 Å³/cell
energy of formation: -0.1897 eV/atom
density: 8.84 g/cm³

[10]
VASP calculation (PBE-GGA) on an optimized crystal structure of LiHoMgTl. Values from VASP.

Cell and atoms, written as Quantum ESPRESSO input:
```
&SYSTEM
  ibrav = 0, nat = 4, ntyp = 4
/
ATOMIC_SPECIES
Li 6.94 Li.upf
Ho 164.93 Ho.upf
Mg 24.30 Mg.upf
Tl 204.38 Tl.upf
CELL_PARAMETERS angstrom
0.000 3.614 3.614
3.614 0.000 3.614
3.614 3.614 0.000
ATOMIC_POSITIONS angstrom
Li 0.000 0.000 0.000
Ho 3.614 3.614 3.614
Mg 5.421 5.421 5.421
Tl 1.807 1.807 1.807
```

## Properties
ΔE to the lowest computed polymorph: 0.8 kJ/mol of atoms
E_tot: -2.80 eV per atom
calculated volume: 94.4 Å³/cell
energy of formation: -0.1832 eV/atom
density: 7.05 g/cm³

[11]
VASP calculation (PBE-GGA) on an optimized crystal structure of LiHoMgTl. Values from VASP.

Cell and atoms, written as Quantum ESPRESSO input:
```
&SYSTEM
  ibrav = 0, nat = 4, ntyp = 4
/
ATOMIC_SPECIES
Li 6.94 Li.upf
Ho 164.93 Ho.upf
Mg 24.30 Mg.upf
Tl 204.38 Tl.upf
CELL_PARAMETERS angstrom
-2.536 2.536 3.572
2.536 -2.536 3.572
2.536 2.536 -3.572
ATOMIC_POSITIONS angstrom
Li 0.000 0.000 0.000
Ho 0.000 2.536 1.786
Mg 2.536 0.000 1.786
Tl 0.000 0.000 3.572
```

## Properties
ΔE to the lowest computed polymorph: 0.0 kJ/mol of atoms
E_tot: -2.80 eV per atom
calculated volume: 91.9 Å³/cell
energy of formation: -0.1917 eV/atom
density: 7.24 g/cm³

[12]
VASP calculation (PBE-GGA) on an optimized crystal structure of LiHoMgTl2. Values from VASP.

Cell and atoms, written as Quantum ESPRESSO input:
```
&SYSTEM
  ibrav = 0, nat = 10, ntyp = 4
/
ATOMIC_SPECIES
Li 6.94 Li.upf
Ho 164.93 Ho.upf
Mg 24.30 Mg.upf
Tl 204.38 Tl.upf
CELL_PARAMETERS angstrom
5.672 0.000 0.000
0.000 6.636 0.000
0.000 0.000 6.392
ATOMIC_POSITIONS angstrom
Li 0.000 0.000 0.000
Li 2.836 0.000 0.000
Ho 1.418 3.318 1.383
Ho 4.254 3.318 5.009
Mg 1.418 0.000 2.377
Mg 4.254 0.000 4.014
Tl 1.418 1.768 4.703
Tl 1.418 4.868 4.703
Tl 4.254 1.768 1.689
Tl 4.254 4.868 1.689
```

## Properties
E_tot: -2.69 eV per atom
calculated volume: 240.6 Å³/cell
energy of formation: -0.1227 eV/atom
density: 8.35 g/cm³

[13]
VASP calculation (PBE-GGA) on an optimized crystal structure of Li2Ho2TmMg5. Values from VASP.

Cell and atoms, written as Quantum ESPRESSO input:
```
&SYSTEM
  ibrav = 0, nat = 20, ntyp = 4
/
ATOMIC_SPECIES
Li 6.94 Li.upf
Ho 164.93 Ho.upf
Tm 168.93 Tm.upf
Mg 24.30 Mg.upf
CELL_PARAMETERS angstrom
10.478 0.000 0.000
0.000 10.478 0.000
0.000 0.000 4.414
ATOMIC_POSITIONS angstrom
Li 1.205 4.034 0.000
Li 4.034 9.273 0.000
Li 6.444 1.205 0.000
Li 9.273 6.444 0.000
Ho 1.886 7.125 0.000
Ho 3.353 1.886 0.000
Ho 7.125 8.592 0.000
Ho 8.592 3.353 0.000
Tm 0.000 0.000 0.000
Tm 5.239 5.239 0.000
Mg 0.000 5.239 2.207
Mg 0.663 2.228 2.207
Mg 2.228 9.815 2.207
Mg 3.011 4.576 2.207
Mg 4.576 7.467 2.207
Mg 5.239 0.000 2.207
Mg 5.902 3.011 2.207
Mg 7.467 5.902 2.207
Mg 8.250 0.663 2.207
Mg 9.815 8.250 2.207
```

## Properties
E_tot: -2.56 eV per atom
calculated volume: 484.6 Å³/cell
energy of formation: -0.0132 eV/atom
density: 4.35 g/cm³

[14]
VASP calculation (PBE-GGA) on an optimized crystal structure of Li2HoTm2Mg5. Values from VASP.

Cell and atoms, written as Quantum ESPRESSO input:
```
&SYSTEM
  ibrav = 0, nat = 20, ntyp = 4
/
ATOMIC_SPECIES
Li 6.94 Li.upf
Ho 164.93 Ho.upf
Tm 168.93 Tm.upf
Mg 24.30 Mg.upf
CELL_PARAMETERS angstrom
10.447 0.000 0.000
0.000 10.447 0.000
0.000 0.000 4.423
ATOMIC_POSITIONS angstrom
Li 1.203 4.021 0.000
Li 4.021 9.245 0.000
Li 6.426 1.203 0.000
Li 9.245 6.426 0.000
Ho 0.000 0.000 0.000
Ho 5.224 5.224 0.000
Tm 1.878 7.102 0.000
Tm 3.346 1.878 0.000
Tm 7.102 8.569 0.000
Tm 8.569 3.346 0.000
Mg 0.000 5.224 2.211
Mg 0.666 2.230 2.211
Mg 2.230 9.782 2.211
Mg 2.994 4.558 2.211
Mg 4.558 7.453 2.211
Mg 5.224 0.000 2.211
Mg 5.889 2.994 2.211
Mg 7.453 5.889 2.211
Mg 8.218 0.666 2.211
Mg 9.782 8.218 2.211
```

## Properties
E_tot: -2.54 eV per atom
calculated volume: 482.8 Å³/cell
energy of formation: -0.0041 eV/atom
density: 4.39 g/cm³

[15]
VASP calculation (PBE-GGA) on an optimized crystal structure of Li2Y2HoMg5. Values from VASP.

Cell and atoms, written as Quantum ESPRESSO input:
```
&SYSTEM
  ibrav = 0, nat = 20, ntyp = 4
/
ATOMIC_SPECIES
Li 6.94 Li.upf
Y 88.91 Y.upf
Ho 164.93 Ho.upf
Mg 24.30 Mg.upf
CELL_PARAMETERS angstrom
10.536 0.000 0.000
0.000 10.536 0.000
0.000 0.000 4.426
ATOMIC_POSITIONS angstrom
Li 1.211 4.057 0.000
Li 4.057 9.325 0.000
Li 6.479 1.211 0.000
Li 9.325 6.479 0.000
Y 1.895 7.163 0.000
Y 3.374 1.895 0.000
Y 7.163 8.642 0.000
Y 8.642 3.374 0.000
Ho 0.000 0.000 0.000
Ho 5.268 5.268 0.000
Mg 0.000 5.268 2.213
Mg 0.671 2.246 2.213
Mg 2.246 9.866 2.213
Mg 3.022 4.597 2.213
Mg 4.597 7.514 2.213
Mg 5.268 0.000 2.213
Mg 5.939 3.022 2.213
Mg 7.514 5.939 2.213
Mg 8.291 0.671 2.213
Mg 9.866 8.291 2.213
```

## Properties
E_tot: -2.97 eV per atom
calculated volume: 491.3 Å³/cell
energy of formation: -0.0372 eV/atom
density: 3.23 g/cm³

[16]
VASP calculation (PBE-GGA) on an optimized crystal structure of LiNdHoMn. Values from VASP.

Cell and atoms, written as Quantum ESPRESSO input:
```
&SYSTEM
  ibrav = 0, nat = 4, ntyp = 4
/
ATOMIC_SPECIES
Li 6.94 Li.upf
Nd 144.24 Nd.upf
Ho 164.93 Ho.upf
Mn 54.94 Mn.upf
CELL_PARAMETERS angstrom
0.000 3.609 3.609
3.609 0.000 3.609
3.609 3.609 0.000
ATOMIC_POSITIONS angstrom
Li 0.000 0.000 0.000
Nd 5.414 5.414 5.414
Ho 1.805 1.805 1.805
Mn 3.609 3.609 3.609
```

## Properties
E_tot: -4.96 eV per atom
calculated volume: 94.0 Å³/cell
energy of formation: 0.1458 eV/atom
density: 6.55 g/cm³

[17]
VASP calculation (PBE-GGA) on an optimized crystal structure of LiHoMnNi. Values from VASP.

Cell and atoms, written as Quantum ESPRESSO input:
```
&SYSTEM
  ibrav = 0, nat = 4, ntyp = 4
/
ATOMIC_SPECIES
Li 6.94 Li.upf
Ho 164.93 Ho.upf
Mn 54.94 Mn.upf
Ni 58.69 Ni.upf
CELL_PARAMETERS angstrom
0.000 3.218 3.218
3.218 0.000 3.218
3.218 3.218 0.000
ATOMIC_POSITIONS angstrom
Li 0.000 0.000 0.000
Ho 4.827 4.827 4.827
Mn 1.609 1.609 1.609
Ni 3.218 3.218 3.218
```

## Properties
E_tot: -5.35 eV per atom
calculated volume: 66.6 Å³/cell
energy of formation: 0.0059 eV/atom
density: 7.12 g/cm³